[1]
VASP calculation (GGA-PBE) on a relaxed structure of CaPr5Y6.

abc: 6.338 8.151 8.151
angles: 84.61 97.42 97.42
Atoms (fractional coordinates):
1 Y 0.254 0.748 0.748
2 Y 0.253 0.085 0.422
3 Pr 0.000 0.664 0.336
4 Pr 0.500 0.169 0.831
5 Y 0.253 0.422 0.085
6 Pr 0.500 0.500 0.500
7 Ca 0.000 0.000 0.000
8 Y 0.747 0.578 0.915
9 Pr 0.000 0.336 0.664
10 Pr 0.500 0.831 0.169
11 Y 0.747 0.915 0.578
12 Y 0.746 0.252 0.252

Computed properties:
SG: No. 12
Energy of formation from the pure elements, eV/atom: 0.03

=====

[2]
VASP calculation (GGA-PBE) on a relaxed structure of CaPr7Y2.

abc: 5.880 9.352 9.352
angles: 122.21 90.00 90.00
Atoms (fractional coordinates):
1 Pr 0.000 0.761 0.239
2 Y 0.500 0.706 0.294
3 Pr 0.500 0.703 0.936
4 Ca 0.000 0.000 0.000
5 Y 0.500 0.294 0.706
6 Pr 0.500 0.297 0.064
7 Pr 0.500 0.936 0.703
8 Pr 0.000 0.239 0.761
9 Pr 0.500 0.500 0.500
10 Pr 0.500 0.064 0.297

Computed properties:
SG: No. 65
Energy of formation from the pure elements, eV/atom: 0.60

=====

[3]
VASP calculation (GGA-PBE) on a relaxed structure of Ca2PrY.

abc: 3.709 3.709 12.627
angles: 81.55 81.55 60.00
Last column: magnetic moment on the atom in μB.
Atoms (fractional coordinates):
1 Ca 0.749 0.749 0.753  0.01
2 Ca 0.251 0.251 0.247  0.01
3 Pr 0.500 0.500 0.500  0.00
4 Y 0.000 0.000 0.000  0.10

Computed properties:
Energy above the most stable polymorph in this dataset, kJ/mol of formula units: 4
SG: No. 166
Energy of formation from the pure elements, eV/atom: 0.10

=====

[4]
VASP calculation (GGA-PBE) on a relaxed structure of Ca2Pr15Y2.

abc: 9.065 9.065 9.065
angles: 81.12 81.12 81.12
Atoms (fractional coordinates):
1 Pr 0.363 0.853 0.363
2 Ca 0.330 0.330 0.330
3 Pr 0.000 0.706 0.294
4 Y 0.096 0.096 0.096
5 Pr 0.500 0.000 0.000
6 Pr 0.853 0.363 0.363
7 Pr 0.637 0.637 0.147
8 Pr 0.706 0.000 0.294
9 Pr 0.706 0.294 0.000
10 Pr 0.294 0.000 0.706
11 Pr 0.000 0.294 0.706
12 Y 0.904 0.904 0.904
13 Pr 0.147 0.637 0.637
14 Pr 0.637 0.147 0.637
15 Pr 0.363 0.363 0.853
16 Pr 0.000 0.000 0.500
17 Pr 0.294 0.706 0.000
18 Ca 0.670 0.670 0.670
19 Pr 0.000 0.500 0.000

Computed properties:
SG: No. 166
Energy of formation from the pure elements, eV/atom: 0.21

=====

[5]
VASP calculation (GGA-PBE) on a relaxed structure of CaPrY2.

abc: 3.668 3.668 12.315
angles: 81.43 81.43 60.00
Atoms (fractional coordinates):
1 Ca 0.500 0.500 0.500
2 Y 0.253 0.253 0.240
3 Y 0.747 0.747 0.760
4 Pr 0.000 0.000 0.000

Computed properties:
Energy above the most stable polymorph in this dataset, kJ/mol of formula units: 2
SG: No. 166
Energy of formation from the pure elements, eV/atom: 0.06

=====

[6]
VASP calculation (GGA-PBE) on a relaxed structure of Ca2PrY.

abc: 4.189 4.189 8.406
angles: 90.00 90.00 90.00
Atoms (fractional coordinates):
1 Ca 0.000 0.000 0.256
2 Pr 0.500 0.500 0.000
3 Ca 0.000 0.000 0.744
4 Y 0.500 0.500 0.500

Computed properties:
Energy above the most stable polymorph in this dataset, kJ/mol of formula units: 16
SG: No. 123
Energy of formation from the pure elements, eV/atom: 0.14

=====

[7]
VASP calculation (GGA-PBE) on a relaxed structure of Ca2PrY.

abc: 3.727 6.389 11.546
angles: 33.99 99.18 89.85
Atoms (fractional coordinates):
1 Y 0.801 0.150 0.184
2 Ca 0.050 0.060 0.687
3 Pr 0.301 0.649 0.185
4 Ca 0.547 0.567 0.682

Computed properties:
Energy above the most stable polymorph in this dataset, kJ/mol of formula units: 0
SG: No. 8
Energy of formation from the pure elements, eV/atom: 0.09

=====

[8]
VASP calculation (GGA-PBE) on a relaxed structure of Ca2PrY.

abc: 5.629 5.126 5.126
angles: 90.00 90.00 90.00
Atoms (fractional coordinates):
1 Ca 0.000 0.000 0.500
2 Pr 0.500 0.500 0.500
3 Y 0.500 0.000 0.000
4 Ca 0.000 0.500 0.000

Computed properties:
Energy above the most stable polymorph in this dataset, kJ/mol of formula units: 17
SG: No. 123
Energy of formation from the pure elements, eV/atom: 0.14

=====

[9]
VASP calculation (GGA-PBE) on a relaxed structure of CaPrY.

abc: 3.375 3.375 10.068
angles: 99.71 99.65 90.00
Last column: magnetic moment on the atom in μB.
Atoms (fractional coordinates):
1 Ca 0.491 0.491 0.982  0.01
2 Y 0.670 0.670 0.340  0.25
3 Pr 0.839 0.839 0.678  0.04

Computed properties:
Energy above the most stable polymorph in this dataset, kJ/mol of formula units: 131
SG: No. 8
Energy of formation from the pure elements, eV/atom: 0.48

=====

[10]
VASP calculation (GGA-PBE) on a relaxed structure of CaPr2Y.

abc: 3.633 3.633 13.130
angles: 82.05 82.05 60.00
Atoms (fractional coordinates):
1 Y 0.500 0.500 0.500
2 Pr 0.909 0.909 0.274
3 Ca 0.000 0.000 0.000
4 Pr 0.091 0.091 0.726

Computed properties:
Energy above the most stable polymorph in this dataset, kJ/mol of formula units: 40
SG: No. 166
Energy of formation from the pure elements, eV/atom: 0.12

=====

[11]
VASP calculation (GGA-PBE) on a relaxed structure of CaPr4Y2.

abc: 3.681 3.681 21.343
angles: 85.05 85.05 60.00
Atoms (fractional coordinates):
1 Pr 0.857 0.857 0.428
2 Pr 0.143 0.143 0.572
3 Pr 0.283 0.283 0.152
4 Y 0.429 0.429 0.712
5 Y 0.571 0.571 0.288
6 Ca 0.000 0.000 0.000
7 Pr 0.717 0.717 0.848

Computed properties:
SG: No. 166
Energy of formation from the pure elements, eV/atom: 0.02

=====

[12]
VASP calculation (GGA-PBE) on a relaxed structure of Ca2PrY.

abc: 3.712 3.712 12.618
angles: 81.54 81.54 60.00
Atoms (fractional coordinates):
1 Pr 0.500 0.500 0.499
2 Ca 0.083 0.083 0.752
3 Y 0.666 0.666 0.001
4 Ca 0.251 0.251 0.248

Computed properties:
Energy above the most stable polymorph in this dataset, kJ/mol of formula units: 4
SG: No. 160
Energy of formation from the pure elements, eV/atom: 0.10

=====

[13]
VASP calculation (GGA-PBE) on a relaxed structure of CaPrY2.

abc: 3.692 3.692 10.429
angles: 90.00 90.00 90.00
Atoms (fractional coordinates):
1 Pr 0.500 0.500 0.000
2 Ca 0.500 0.500 0.500
3 Y 0.000 0.000 0.765
4 Y 0.000 0.000 0.235

Computed properties:
Energy above the most stable polymorph in this dataset, kJ/mol of formula units: 6
SG: No. 123
Energy of formation from the pure elements, eV/atom: 0.07

=====

[14]
VASP calculation (GGA-PBE) on a relaxed structure of CaPr3Y2.

abc: 8.049 6.800 8.049
angles: 90.09 101.38 89.91
Atoms (fractional coordinates):
1 Pr 0.919 0.750 0.425
2 Pr 0.214 0.749 0.786
3 Y 0.172 0.500 0.172
4 Pr 0.786 0.251 0.214
5 Pr 0.425 0.250 0.919
6 Pr 0.081 0.250 0.575
7 Y 0.828 0.000 0.828
8 Ca 0.482 0.750 0.518
9 Pr 0.575 0.750 0.081
10 Ca 0.518 0.250 0.482
11 Y 0.172 0.000 0.172
12 Y 0.828 0.500 0.828

Computed properties:
SG: No. 12
Energy of formation from the pure elements, eV/atom: 0.18

=====

[15]
VASP calculation (GGA-PBE) on a relaxed structure of Ca3Pr6Y2.

abc: 3.703 3.703 33.828
angles: 86.86 86.86 60.00
Atoms (fractional coordinates):
1 Pr 0.636 0.636 0.093
2 Ca 0.271 0.271 0.186
3 Ca 0.000 0.000 0.000
4 Pr 0.364 0.364 0.907
5 Pr 0.094 0.094 0.718
6 Pr 0.818 0.818 0.545
7 Ca 0.729 0.729 0.814
8 Pr 0.906 0.906 0.282
9 Pr 0.182 0.182 0.455
10 Y 0.544 0.544 0.367
11 Y 0.456 0.456 0.633

Computed properties:
SG: No. 166
Energy of formation from the pure elements, eV/atom: 0.04

=====

[16]
VASP calculation (GGA-PBE) on a relaxed structure of Ca2Pr5Y4.

abc: 6.351 9.787 11.697
angles: 127.11 136.75 70.68
Atoms (fractional coordinates):
1 Pr 0.774 0.361 0.597
2 Y 0.314 0.095 0.767
3 Pr 0.876 0.814 0.957
4 Y 0.392 0.544 0.124
5 Ca 0.053 0.729 0.684
6 Pr 0.124 0.186 0.043
7 Ca 0.947 0.271 0.316
8 Y 0.608 0.456 0.876
9 Y 0.686 0.905 0.233
10 Pr 0.500 0.000 0.500
11 Pr 0.226 0.639 0.403

Computed properties:
SG: No. 2
Energy of formation from the pure elements, eV/atom: 0.05

=====

[17]
VASP calculation (GGA-PBE) on a relaxed structure of CaPr2Y.

abc: 5.893 5.893 5.893
angles: 60.00 60.00 60.00
Atoms (fractional coordinates):
1 Ca 0.000 0.000 0.000
2 Pr 0.250 0.250 0.250
3 Y 0.500 0.500 0.500
4 Pr 0.750 0.750 0.750

Computed properties:
Energy above the most stable polymorph in this dataset, kJ/mol of formula units: 34
SG: No. 225
Energy of formation from the pure elements, eV/atom: 0.11

=====

[18]
VASP calculation (GGA-PBE) on a relaxed structure of CaPr2Y.

abc: 5.113 5.293 5.293
angles: 90.00 90.00 90.00
Atoms (fractional coordinates):
1 Pr 0.000 0.000 0.500
2 Ca 0.500 0.500 0.500
3 Pr 0.000 0.500 0.000
4 Y 0.500 0.000 0.000

Computed properties:
Energy above the most stable polymorph in this dataset, kJ/mol of formula units: 25
SG: No. 123
Energy of formation from the pure elements, eV/atom: 0.08

=====

[19]
VASP calculation (GGA-PBE) on a relaxed structure of CaPr4Y.

abc: 3.667 5.287 11.174
angles: 90.00 90.05 90.00
Atoms (fractional coordinates):
1 Pr 0.499 0.000 0.180
2 Y 0.500 0.000 0.500
3 Ca 0.000 0.500 0.000
4 Pr 0.001 0.500 0.661
5 Pr 0.501 0.000 0.820
6 Pr 0.999 0.500 0.339

Computed properties:
Energy above the most stable polymorph in this dataset, kJ/mol of formula units: 0
SG: No. 10
Energy of formation from the pure elements, eV/atom: 0.03

=====

[20]
VASP calculation (GGA-PBE) on a relaxed structure of CaPrZn.

abc: 3.664 3.664 7.162
angles: 104.82 104.82 90.00
Atoms (fractional coordinates):
1 Ca 0.028 0.028 0.057
2 Pr 0.303 0.303 0.606
3 Zn 0.668 0.668 0.337

Computed properties:
Energy above the most stable polymorph in this dataset, kJ/mol of formula units: 0
SG: No. 107
Energy of formation from the pure elements, eV/atom: -0.17